# UVSbO6 (GGA+U, optimized geometry)
# **Total magnetic moment**: 2.01 μB per formula unit
# **Electronic total energy**: -72.44 eV/f.u.
data_UVSbO6
_symmetry_space_group_name_H-M 'P -3 1 c'
_symmetry_Int_Tables_number 163
_symmetry_space_group_name_Hall '-P 3 2c'
_cell_length_a 5.4199
_cell_length_b 5.4199
_cell_length_c 9.6764
_cell_angle_alpha 90.00
_cell_angle_beta 90.00
_cell_angle_gamma 120.00
loop_
_atom_site_label
_atom_site_fract_x
_atom_site_fract_y
_atom_site_fract_z
_atom_site_occupancy
U1 0.3333 0.6667 0.2500 1
V1 0.3333 0.6667 0.7500 1
Sb1 0.0000 0.0000 0.0000 1
O1 0.0091 0.3556 0.6365 1